The following is a DFT calculation (meta-GGA SCAN) of TiAs2HSe at its PBEsol-relaxed geometry.

Calculated values
D(E_F) (states/eV/f.u.): 3.15
E (eV/atom): -15.80
M_tot (μB per formula unit): 0.59

abc: 3.8333 3.8333 5.1462
angles: 90.00 90.00 90.00
Last column: nearest neighbours and their distance in Å.
Fractional coordinates of all 5 atoms:
Ti: 0.0000 0.0000 0.0000  4 Se 2.71
As: 0.0000 0.5000 0.5000  2 H 1.92
As: 0.5000 0.0000 0.5000  2 H 1.92
H: 0.5000 0.5000 0.5000  4 As 1.92
Se: 0.5000 0.5000 0.0000  2 H 2.57, 4 Ti 2.71